1.
Entry from the Alexandria database: an optimized crystal structure of LaTb2CdN (PBE).

Structure (extended XYZ):
```
5
Lattice="5.112 0.000 0.000 0.000 4.886 0.000 0.000 0.000 4.886" Properties=species:S:1:pos:R:3 pbc="T T T"
La 2.556 0.000 0.000
Tb 0.000 0.000 2.443
Tb 0.000 2.443 0.000
Cd 2.556 2.443 2.443
N 0.000 0.000 0.000
```

Calculated values
Electronic total energy: -5.46 eV per atom
Crystal system: tetragonal

=====

2.
Entry from the Alexandria database: an optimized crystal structure of La2CdTcN (PBE).

Structure (extended XYZ):
```
5
Lattice="-4.938 1.991 -0.412 -2.004 -4.948 0.112 -0.251 0.190 3.925" Properties=species:S:1:pos:R:3 pbc="T T T"
N 0.000 0.000 0.000
Cd -3.596 -1.384 1.812
Tc -0.126 0.095 1.962
La -1.002 -2.474 0.056
La -2.469 0.995 -0.206
```

Calculated values
Electronic total energy: -6.49 eV per atom
Crystal system: tetragonal

=====

3.
Entry from the Alexandria database: an optimized crystal structure of La6Cd2TcN (PBE).

Structure (extended XYZ):
```
10
Lattice="-2.608 2.804 6.533 0.683 -6.782 2.855 6.019 3.155 -3.321" Properties=species:S:1:pos:R:3 pbc="T T T"
La -1.050 -3.231 7.126
La 1.681 -1.180 4.951
La 4.994 2.506 -1.089
La 4.114 3.499 2.685
La 2.344 0.394 1.057
La 5.952 -1.085 0.014
Cd 1.198 2.084 3.801
Cd 2.799 -2.848 2.252
Tc -0.686 -2.238 4.851
N -2.530 2.743 6.536
```

Calculated values
Electronic total energy: -5.34 eV per atom
Crystal system: triclinic

=====

4.
Entry from the Alexandria database: an optimized crystal structure of LaCdTeN2 (PBE).

Structure (extended XYZ):
```
5
Lattice="4.500 0.000 0.000 0.000 4.500 0.000 0.000 0.000 5.498" Properties=species:S:1:pos:R:3 pbc="T T T"
Cd 0.000 0.000 0.000
N 0.000 2.250 0.000
N 2.250 0.000 0.000
Te 0.000 0.000 2.749
La 2.250 2.250 2.749
```

Calculated values
Offset from the most stable computed form: 217 meV per atom
Crystal system: tetragonal

=====

5.
Entry from the Alexandria database: an optimized crystal structure of LaCdTeN2 (PBE).

Structure (extended XYZ):
```
5
Lattice="4.318 0.000 0.000 0.000 4.318 0.000 0.000 0.000 6.987" Properties=species:S:1:pos:R:3 pbc="T T T"
Cd 2.159 2.159 3.494
N 0.000 2.159 0.000
N 2.159 0.000 0.000
Te 0.000 0.000 3.494
La 0.000 0.000 0.000
```

Calculated values
Offset from the most stable computed form: 0 meV per atom
Crystal system: tetragonal

=====

6.
Entry from the Alexandria database: an optimized crystal structure of LaTi2CdN (PBE).

Structure (extended XYZ):
```
5
Lattice="4.858 0.000 0.000 0.000 6.079 0.000 0.000 0.000 4.858" Properties=species:S:1:pos:R:3 pbc="T T T"
N 2.429 3.039 2.429
Cd 0.000 3.039 0.000
Ti 0.000 0.000 2.429
Ti 2.429 0.000 0.000
La 0.000 0.000 0.000
```

Calculated values
Electronic total energy: -3.66 eV per atom
Crystal system: tetragonal

=====

7.
Entry from the Alexandria database: an optimized crystal structure of La2TiCdN (PBE).

Structure (extended XYZ):
```
5
Lattice="-3.988 0.865 3.502 -3.346 -2.838 -3.109 1.016 -3.379 1.992" Properties=species:S:1:pos:R:3 pbc="T T T"
N 0.000 0.000 0.000
Cd -3.160 -2.676 1.192
Ti 0.508 -1.690 0.996
La -1.673 -1.419 -1.555
La -1.994 0.433 1.751
```

Calculated values
Electronic total energy: -6.11 eV per atom
Crystal system: tetragonal

=====

8.
Entry from the Alexandria database: an optimized crystal structure of LaTiCdN2 (PBE).

Structure (extended XYZ):
```
5
Lattice="-2.577 2.469 2.684 -3.685 -3.097 -0.691 1.358 -2.400 3.512" Properties=species:S:1:pos:R:3 pbc="T T T"
N 0.679 -1.200 1.756
N -1.289 1.234 1.342
Cd 0.000 0.000 0.000
Ti -1.843 -1.548 -0.345
La -2.452 -1.514 2.753
```

Calculated values
Electronic total energy: -4.65 eV per atom
Crystal system: tetragonal

=====

9.
Entry from the Alexandria database: an optimized crystal structure of La12Tl4CdN3 (PBE).

Structure (extended XYZ):
```
20
Lattice="-7.726 -2.193 -4.501 3.790 -7.630 3.490 -1.982 5.843 6.832" Properties=species:S:1:pos:R:3 pbc="T T T"
La -1.523 0.019 5.744
La -6.987 2.627 1.678
La -2.720 1.023 0.653
La -4.395 -3.999 0.077
La -2.833 -7.070 -0.728
La -1.103 -2.753 -0.283
La -5.838 -0.631 0.913
La -0.080 -3.349 4.908
La -4.402 1.378 3.746
La 1.301 -1.286 7.430
La -1.516 -5.358 2.075
La 0.507 -0.501 2.893
Tl -2.959 -1.990 2.911
Tl -0.991 2.922 3.416
Tl -3.863 -1.096 -2.250
Tl 1.895 -3.815 1.745
Cd 0.000 0.000 0.000
N -4.854 1.825 1.166
N -1.968 -4.911 -0.505
N 0.904 -0.893 5.161
```

Calculated values
Electronic total energy: -5.28 eV per atom
Crystal system: cubic

=====

10.
Entry from the Alexandria database: an optimized crystal structure of La2VCdN (PBE).

Structure (extended XYZ):
```
5
Lattice="5.392 0.000 0.000 0.000 5.392 0.000 0.000 0.000 3.918" Properties=species:S:1:pos:R:3 pbc="T T T"
N 0.000 0.000 0.000
V 0.000 0.000 1.959
Cd 2.696 2.696 1.959
La 0.000 2.696 0.000
La 2.696 0.000 0.000
```

Calculated values
Electronic total energy: -6.27 eV per atom
Crystal system: tetragonal

=====

11.
Entry from the Alexandria database: an optimized crystal structure of La2YCdN (PBE).

Structure (extended XYZ):
```
5
Lattice="-0.489 -1.557 -4.908 0.300 -4.930 1.534 -4.788 -0.130 0.518" Properties=species:S:1:pos:R:3 pbc="T T T"
Y -2.394 -0.065 0.259
N 0.000 0.000 0.000
Cd -2.488 -3.309 -1.428
La 0.150 -2.465 0.767
La -0.244 -0.778 -2.454
```

Calculated values
Electronic total energy: -5.86 eV per atom
Crystal system: tetragonal

=====

12.
Entry from the Alexandria database: an optimized crystal structure of La2ZnCdN (PBE).

Structure (extended XYZ):
```
5
Lattice="-1.620 4.314 2.313 -4.081 0.155 -3.147 -2.275 -2.373 2.833" Properties=species:S:1:pos:R:3 pbc="T T T"
N 0.000 0.000 0.000
Zn -1.138 -1.187 1.416
Cd -3.988 1.048 0.999
La -2.040 0.078 -1.574
La -0.810 2.157 1.157
```

Calculated values
Electronic total energy: -4.58 eV per atom
Crystal system: tetragonal

=====

13.
Entry from the Alexandria database: an optimized crystal structure of Na2La2Cd (PBE).

Structure (extended XYZ):
```
10
Lattice="-4.319 -6.064 0.532 4.947 -3.117 4.639 -2.722 2.331 4.469" Properties=species:S:1:pos:R:3 pbc="T T T"
Na 2.703 -4.913 4.209
Na -0.598 -7.226 3.404
Na -2.075 -4.268 0.962
Na 1.226 -1.955 1.767
Cd 0.000 0.000 0.000
Cd 0.314 -4.591 2.585
La 1.225 -2.031 5.477
La -0.227 -5.510 6.407
La -3.319 -4.819 4.163
La -1.867 -1.341 3.233
```

Calculated values
Offset from the most stable computed form: 0 meV per atom
Crystal system: tetragonal
Energy of formation: 16.2 kJ per mole of atoms

=====

14.
Entry from the Alexandria database: an optimized crystal structure of NaLa2Cd2 (PBE).

Structure (extended XYZ):
```
10
Lattice="-6.979 -4.388 4.600 6.340 -4.297 5.519 -0.178 2.704 2.310" Properties=species:S:1:pos:R:3 pbc="T T T"
Na 0.000 0.000 0.000
Na -0.320 -4.343 5.059
Cd 2.928 -5.429 6.581
Cd -2.180 -6.526 7.472
Cd -3.568 -3.256 3.537
Cd 1.541 -2.160 2.647
La 2.971 -2.287 5.650
La 0.476 -5.155 8.816
La -3.788 -3.695 6.778
La -1.293 -0.827 3.612
```

Calculated values
Offset from the most stable computed form: 0 meV per atom
Crystal system: tetragonal
Energy of formation: -14.8 kJ per mole of atoms

=====

15.
Entry from the Alexandria database: an optimized crystal structure of NaLaCd17 (PBE).

Structure (extended XYZ):
```
19
Lattice="-5.967 4.723 -1.417 -3.266 -4.137 -5.669 -5.272 -3.677 4.313" Properties=species:S:1:pos:R:3 pbc="T T T"
Na -4.969 -1.059 -0.950
La -9.653 -2.057 -1.846
Cd -5.465 -1.163 2.577
Cd -5.147 2.055 -2.673
Cd -3.863 -3.976 -2.671
Cd -4.069 -1.483 -4.371
Cd -4.664 -3.793 1.315
Cd -5.743 2.191 0.289
Cd -6.763 -3.095 -3.718
Cd -7.728 -2.875 1.080
Cd -8.062 1.164 -1.674
Cd -7.733 0.006 0.946
Cd -6.768 -0.215 -3.851
Cd -6.434 -4.252 -1.098
Cd -12.830 -1.037 0.035
Cd -11.841 -1.264 -4.888
Cd -11.498 -5.406 -2.062
Cd -13.052 -2.781 -2.496
Cd -1.516 -0.323 -0.290
```

Calculated values
Crystal system: trigonal
Energy of formation: -10.4 kJ per mole of atoms

=====

16.
Entry from the Alexandria database: an optimized crystal structure of Na2LaCd6 (PBE).

Structure (extended XYZ):
```
9
Lattice="3.280 0.000 0.000 0.000 7.787 -4.496 0.000 0.000 8.992" Properties=species:S:1:pos:R:3 pbc="T T T"
Na 0.000 2.596 4.496
Na 3.280 5.192 0.000
La 0.000 0.000 8.992
Cd 1.640 2.633 1.520
Cd 1.640 5.154 2.976
Cd 1.640 0.000 5.952
Cd 1.640 5.154 6.016
Cd 1.640 2.633 -1.520
Cd 1.640 7.787 -1.456
```

Calculated values
Crystal system: hexagonal
Energy of formation: -17.6 kJ per mole of atoms

=====

17.
Entry from the Alexandria database: an optimized crystal structure of NaLaCd (PBE).

Structure (extended XYZ):
```
3
Lattice="-1.718 -2.715 1.104 4.602 -2.923 -0.030 -1.458 2.744 4.480" Properties=species:S:1:pos:R:3 pbc="T T T"
Na -1.434 -2.266 0.921
Cd 1.153 -3.293 2.392
La -0.010 -0.050 3.345
```

Calculated values
Offset from the most stable computed form: 51 meV per atom
Crystal system: trigonal
Energy of formation: -6.3 kJ per mole of atoms

=====

18.
Entry from the Alexandria database: an optimized crystal structure of NaLa3Cd (PBE).

Structure (extended XYZ):
```
5
Lattice="6.091 0.000 0.000 0.000 6.091 0.000 0.000 0.000 6.091" Properties=species:S:1:pos:R:3 pbc="T T T"
Na 3.046 3.046 3.046
Cd 0.000 0.000 0.000
La 0.000 3.046 0.000
La 0.000 0.000 3.046
La 3.046 0.000 0.000
```

Calculated values
Offset from the most stable computed form: 0 meV per atom
Crystal system: cubic
Energy of formation: 36.4 kJ per mole of atoms

=====

19.
Entry from the Alexandria database: an optimized crystal structure of NaLaCd4 (PBE).

Structure (extended XYZ):
```
6
Lattice="-3.562 -2.250 2.837 1.136 -1.851 -4.590 4.890 -4.177 2.849" Properties=species:S:1:pos:R:3 pbc="T T T"
Na 5.435 -5.103 0.562
La 2.989 -3.015 -0.862
Cd -0.264 -4.064 -1.236
Cd 2.679 -4.215 2.348
Cd 2.250 -6.199 0.234
Cd 0.166 -2.079 0.879
```

Calculated values
Offset from the most stable computed form: 0 meV per atom
Crystal system: triclinic
Energy of formation: -22.2 kJ per mole of atoms

=====

20.
Entry from the Alexandria database: an optimized crystal structure of NaLa6Cd5 (PBE).

Structure (extended XYZ):
```
12
Lattice="5.373 0.023 -1.568 -1.087 6.958 -3.623 -0.092 0.520 9.681" Properties=species:S:1:pos:R:3 pbc="T T T"
Na 0.000 0.000 0.000
Cd 3.339 1.287 1.470
Cd 1.365 2.670 4.718
Cd -0.543 3.479 -1.812
Cd 2.828 4.830 -0.227
Cd 0.855 6.213 3.020
La 3.771 4.347 2.997
La 4.301 0.955 4.764
La 1.886 5.138 -3.454
La 2.400 1.842 -1.737
La -0.108 6.546 -0.273
La 0.423 3.153 1.493
```

Calculated values
Crystal system: orthorhombic
Energy of formation: -23.0 kJ per mole of atoms